Record 1
First-principles (meta-GGA SCAN) data for a crystal of CsCa2As2 relaxed with PBEsol, as listed in Alexandria.

a b c (Å): 5.1355 5.1355 6.9201
angles (deg): 111.78 111.78 90.00
Site moments in Bohr magnetons follow the coordinates.
Fractional coordinates of all 5 atoms:
Cs: 0.0000 0.0000 0.0000  0.01
As: 0.3761 0.3761 0.7522  0.10
As: 0.6239 0.6239 0.2478  0.10
Ca: 0.2500 0.7500 0.5000  0.04
Ca: 0.7500 0.2500 0.5000  0.04

Summary:
The calculation puts the spin magnetization at 0.8 μB/f.u. As for the space group: I4/mmm (139). The value obtained for the formation energy is -0.86 eV/atom.

***

Record 2
First-principles (meta-GGA SCAN) data for a crystal of Cs3CaAs relaxed with PBEsol, as listed in Alexandria.

a b c (Å): 7.2479 7.2479 7.2479
angles (deg): 90.00 90.00 90.00
Site moments in Bohr magnetons follow the coordinates.
Fractional coordinates of all 5 atoms:
Cs: 0.0000 0.5000 0.0000  -0.03
Cs: 0.0000 0.0000 0.5000  -0.03
Cs: 0.5000 0.0000 0.0000  -0.03
As: 0.5000 0.5000 0.5000  0.52
Ca: 0.0000 0.0000 0.0000  -0.16

Summary:
The calculation puts the spin magnetization at 0.0 μB/f.u. As for the space group: Pm-3m (221). The value obtained for the formation energy is 0.79 eV/atom.

***

Record 3
First-principles (meta-GGA SCAN) data for a crystal of CaCuAs relaxed with PBEsol, as listed in Alexandria.

a b c (Å): 4.1321 4.1321 7.8360
angles (deg): 90.00 90.00 120.00
Fractional coordinates of all 6 atoms:
As: 0.6667 0.3333 0.7500
As: 0.3333 0.6667 0.2500
Ca: 0.0000 0.0000 0.0000
Ca: 0.0000 0.0000 0.5000
Cu: 0.6667 0.3333 0.2500
Cu: 0.3333 0.6667 0.7500

Summary:
The calculation puts the spin magnetization at 0.0 μB/f.u. As for the space group: P6_3/mmc (194). The value obtained for the formation energy is -0.91 eV/atom.

***

Record 4
First-principles (meta-GGA SCAN) data for a crystal of CaCuAs2 relaxed with PBEsol, as listed in Alexandria.

a b c (Å): 4.7397 4.7397 4.7397
angles (deg): 60.00 60.00 60.00
Fractional coordinates of all 4 atoms:
As: 0.0000 0.0000 0.0000
As: 0.7500 0.7500 0.7500
Ca: 0.5000 0.5000 0.5000
Cu: 0.2500 0.2500 0.2500

Summary:
The calculation puts the spin magnetization at 0.0 μB/f.u. As for the space group: F-43m (216). The value obtained for the formation energy is -0.05 eV/atom.